ThSi2Ni2Os PBE optimized geometry; uncorrected formation energy = -0.009 eV per atom; total magnetic moment = 0.00 μB/cell; total DFT energy (no corrections) = -6.852 eV/atom; crystal system = tetragonal
1.0
4.564 0.000 0.000
0.000 4.564 0.000
0.000 0.000 5.354
Ni Si Os Th
2 2 1 1
Direct
0.500 0.500 0.251
0.500 0.500 0.749
0.000 0.500 0.000
0.500 0.000 0.000
0.000 0.000 0.000
0.000 0.000 0.500

MgTcHg2 PBE optimized geometry; total magnetic moment = 1.72 μB/cell; total DFT energy (no corrections) = -2.793 eV/atom; DFT formation energy = 348 meV per atom; crystal system = tetragonal
1.0
-0.274 2.432 2.053
-0.804 -2.046 2.318
7.204 -0.744 1.842
Hg Tc Mg
2 1 1
Direct
0.000 0.000 0.505
0.000 0.000 0.995
0.500 0.500 0.750
0.500 0.500 0.250

SnTe PBE optimized geometry; uncorrected formation energy = -0.042 eV per atom; total magnetic moment = 0.00 μB/cell; total DFT energy (no corrections) = -3.614 eV/atom; crystal system = cubic
1.0
5.524 0.000 0.000
2.762 4.784 0.000
2.762 1.595 4.510
Te Sn
2 2
Direct
0.500 0.500 0.500
0.000 0.000 0.000
0.250 0.250 0.250
0.750 0.750 0.750

Cs2Cd2PbS4 PBE optimized geometry; uncorrected formation energy = -0.816 eV per atom; total magnetic moment = 0.00 μB/cell; total DFT energy (no corrections) = -3.455 eV/atom; crystal system = monoclinic
1.0
4.337 0.000 0.000
0.000 8.230 0.316
-2.168 -2.955 7.708
S Pb Cd Cs
4 1 2 2
Direct
0.478 0.236 0.956
0.795 0.833 0.589
0.522 0.764 0.044
0.205 0.167 0.411
0.000 0.000 0.000
0.331 0.022 0.662
0.669 0.978 0.338
0.126 0.538 0.253
0.874 0.462 0.747